Entry 1:
A plane-wave DFT calculation with PBE was carried out for a relaxed structure of CePmPN4.

Output
- Total moment: 0.0 μB per formula unit
- E_form (uncorrected): -1.173 eV per atom
- Calculated total energy: -0.302 hartree per atom

Lattice parameters (Å, degrees): 5.4231 5.4546 6.8603 90.00 108.44 90.00
Positions (direct):
Ce: 0.2149 0.2500 0.0343
Ce: 0.7851 0.7500 0.9657
Pm: 0.2843 0.2500 0.5659
Pm: 0.7157 0.7500 0.4341
P: 0.2343 0.7500 0.7977
P: 0.7657 0.2500 0.2023
N: 0.0380 0.5127 0.7446
N: 0.0380 0.9873 0.7446
N: 0.3977 0.7500 0.0490
N: 0.4376 0.7500 0.6605
N: 0.5624 0.2500 0.3395
N: 0.6023 0.2500 0.9510
N: 0.9620 0.0127 0.2554
N: 0.9620 0.4873 0.2554

---

Entry 2:
A plane-wave DFT calculation with PBE was carried out for a relaxed structure of CePrPN.

Output
- Density of states at the Fermi level: 3.77 states/eV/f.u.
- Total moment: 0.5 μB per formula unit
- E_form (uncorrected): -1.231 eV per atom
- Calculated total energy: -0.270 hartree per atom

Lattice parameters (Å, degrees): 3.9282 3.9282 13.6337 90.00 90.00 120.00
Positions (direct):
Ce: 0.3333 0.6667 0.0000
Ce: 0.6667 0.3333 0.5000
Pr: 0.0000 0.0000 0.2397
Pr: 0.0000 0.0000 0.7397
P: 0.3333 0.6667 0.3651
P: 0.6667 0.3333 0.8651
N: 0.0000 0.0000 0.0651
N: 0.0000 0.0000 0.5651

---

Entry 3:
A plane-wave DFT calculation with PBE was carried out for a relaxed structure of Ce2PuPN5.

Output
- Density of states at the Fermi level: 8.31 states/eV/f.u.
- Total moment: 5.5 μB per formula unit
- E_form (uncorrected): -0.908 eV per atom
- Calculated total energy: -0.332 hartree per atom

Lattice parameters (Å, degrees): 6.5108 6.5108 5.6255 90.00 90.00 90.00
Positions (direct):
Ce: 0.1780 0.3220 0.0000
Ce: 0.3220 0.8220 0.0000
Ce: 0.6780 0.1780 0.0000
Ce: 0.8220 0.6780 0.0000
Pu: 0.0000 0.0000 0.5000
Pu: 0.5000 0.5000 0.5000
P: 0.0000 0.5000 0.5000
P: 0.5000 0.0000 0.5000
N: 0.0000 0.0000 0.0000
N: 0.1350 0.6350 0.2842
N: 0.1350 0.6350 0.7158
N: 0.3650 0.1350 0.2842
N: 0.3650 0.1350 0.7158
N: 0.5000 0.5000 0.0000
N: 0.6350 0.8650 0.2842
N: 0.6350 0.8650 0.7158
N: 0.8650 0.3650 0.2842
N: 0.8650 0.3650 0.7158

---

Entry 4:
A plane-wave DFT calculation with PBE was carried out for a relaxed structure of CePuPN.

Output
- Density of states at the Fermi level: 6.66 states/eV/f.u.
- Total moment: 5.6 μB per formula unit
- E_form (uncorrected): -1.269 eV per atom
- Calculated total energy: -0.359 hartree per atom

Lattice parameters (Å, degrees): 6.6254 6.6254 6.6254 32.88 32.88 32.88
Positions (direct):
Ce: 0.0000 0.0000 0.0000
Pu: 0.4761 0.4761 0.4761
P: 0.2346 0.2346 0.2346
N: 0.7396 0.7396 0.7396

---

Entry 5:
A plane-wave DFT calculation with PBE was carried out for a relaxed structure of CePRhN.

Output
- Density of states at the Fermi level: 4.95 states/eV/f.u.
- Total moment: 0.7 μB per formula unit
- E_form (uncorrected): -1.194 eV per atom
- Calculated total energy: -0.292 hartree per atom

Lattice parameters (Å, degrees): 3.8768 3.8768 8.1514 90.00 90.00 90.00
Positions (direct):
Ce: 0.2500 0.2500 0.1604
Ce: 0.7500 0.7500 0.8396
P: 0.2500 0.2500 0.6639
P: 0.7500 0.7500 0.3361
Rh: 0.2500 0.7500 0.5000
Rh: 0.7500 0.2500 0.5000
N: 0.2500 0.2500 0.8714
N: 0.7500 0.7500 0.1286

---

Entry 6:
A plane-wave DFT calculation with PBE was carried out for a relaxed structure of Ce3P2Rh2N3.

Output
- Density of states at the Fermi level: 12.43 states/eV/f.u.
- Total moment: 1.7 μB per formula unit
- E_form (uncorrected): -1.234 eV per atom
- Calculated total energy: -0.296 hartree per atom

Lattice parameters (Å, degrees): 11.0482 11.0482 11.0482 160.09 160.09 28.30
Positions (direct):
Ce: 0.0000 0.0000 0.0000
Ce: 0.3845 0.3845 0.0000
Ce: 0.6155 0.6155 0.0000
P: 0.1874 0.1874 0.0000
P: 0.8126 0.8126 0.0000
Rh: 0.2500 0.7500 0.5000
Rh: 0.7500 0.2500 0.5000
N: 0.1090 0.1090 0.0000
N: 0.5000 0.5000 0.0000
N: 0.8910 0.8910 0.0000

---

Entry 7:
A plane-wave DFT calculation with PBE was carried out for a relaxed structure of Ce2P2Ru2N.

Output
- Density of states at the Fermi level: 8.97 states/eV/f.u.
- Total moment: 0.3 μB per formula unit
- E_form (uncorrected): -1.025 eV per atom
- Calculated total energy: -0.298 hartree per atom

Lattice parameters (Å, degrees): 5.9724 5.9724 6.7016 123.57 123.57 37.92
Positions (direct):
Ce: 0.0594 0.0594 0.2937
Ce: 0.9406 0.9406 0.7063
P: 0.3227 0.3227 0.2944
P: 0.6773 0.6773 0.7056
Ru: 0.2951 0.2951 0.9047
Ru: 0.7049 0.7049 0.0953
N: 0.5000 0.5000 0.0000

---

Entry 8:
A plane-wave DFT calculation with PBE was carried out for a relaxed structure of CePRuN.

Output
- Density of states at the Fermi level: 1.65 states/eV/f.u.
- Total moment: 0.0 μB per formula unit
- E_form (uncorrected): -1.190 eV per atom
- Calculated total energy: -0.310 hartree per atom

Lattice parameters (Å, degrees): 4.0293 4.0293 8.1435 90.00 90.00 90.00
Positions (direct):
Ce: 0.2500 0.2500 0.1344
Ce: 0.7500 0.7500 0.8656
P: 0.2500 0.2500 0.6426
P: 0.7500 0.7500 0.3574
Ru: 0.2500 0.7500 0.5000
Ru: 0.7500 0.2500 0.5000
N: 0.2500 0.7500 0.0000
N: 0.7500 0.2500 0.0000

---

Entry 9:
A plane-wave DFT calculation with PBE was carried out for a relaxed structure of Ce4PS2N.

Output
- Density of states at the Fermi level: 19.26 states/eV/f.u.
- Total moment: 3.2 μB per formula unit
- E_form (uncorrected): -1.616 eV per atom
- Calculated total energy: -0.269 hartree per atom

Lattice parameters (Å, degrees): 6.8188 6.8188 14.1818 90.00 90.00 146.36
Positions (direct):
Ce: 0.0000 0.0000 0.0000
Ce: 0.0000 0.0000 0.5000
Ce: 0.2779 0.7221 0.6276
Ce: 0.2779 0.7221 0.8724
Ce: 0.4310 0.5690 0.2500
Ce: 0.5690 0.4310 0.7500
Ce: 0.7221 0.2779 0.1276
Ce: 0.7221 0.2779 0.3724
P: 0.1016 0.8984 0.2500
P: 0.8984 0.1016 0.7500
S: 0.3607 0.6393 0.0604
S: 0.3607 0.6393 0.4396
S: 0.6393 0.3607 0.5604
S: 0.6393 0.3607 0.9396
N: 0.1694 0.8306 0.7500
N: 0.8306 0.1694 0.2500

---

Entry 10:
A plane-wave DFT calculation with PBE was carried out for a relaxed structure of CeSiP2N6.

Output
- Total moment: 0.0 μB per formula unit
- E_form (uncorrected): -0.733 eV per atom
- Calculated total energy: -0.292 hartree per atom

Lattice parameters (Å, degrees): 6.8291 6.8291 5.8514 111.36 111.36 81.01
Positions (direct):
Ce: 0.1778 0.8222 0.7500
Ce: 0.8222 0.1778 0.2500
Si: 0.1999 0.8001 0.2500
Si: 0.8001 0.1999 0.7500
P: 0.2244 0.3590 0.8283
P: 0.3590 0.2244 0.3283
P: 0.6410 0.7756 0.6717
P: 0.7756 0.6410 0.1717
N: 0.0253 0.2013 0.6841
N: 0.1791 0.6043 0.9672
N: 0.2013 0.0253 0.1841
N: 0.2677 0.3847 0.5691
N: 0.3847 0.2677 0.0691
N: 0.3957 0.8209 0.5328
N: 0.6043 0.1791 0.4672
N: 0.6153 0.7323 0.9309
N: 0.7323 0.6153 0.4309
N: 0.7987 0.9747 0.8159
N: 0.8209 0.3957 0.0328
N: 0.9747 0.7987 0.3159

---

Entry 11:
A plane-wave DFT calculation with PBE was carried out for a relaxed structure of CeSm2PN5.

Output
- Total moment: 0.1 μB per formula unit
- E_form (uncorrected): -1.268 eV per atom
- Calculated total energy: -0.301 hartree per atom

Lattice parameters (Å, degrees): 7.1056 7.1056 7.1056 124.19 124.19 82.89
Positions (direct):
Ce: 0.2500 0.2500 0.0000
Ce: 0.7500 0.7500 0.0000
Sm: 0.1768 0.6768 0.8537
Sm: 0.3232 0.1768 0.5000
Sm: 0.6768 0.8232 0.5000
Sm: 0.8232 0.3232 0.1463
P: 0.2500 0.7500 0.5000
P: 0.7500 0.2500 0.5000
N: 0.0000 0.0000 0.0000
N: 0.0168 0.7917 0.5000
N: 0.2083 0.7083 0.2251
N: 0.2917 0.5168 0.5000
N: 0.4832 0.9832 0.7749
N: 0.5000 0.5000 0.0000
N: 0.5168 0.0168 0.2251
N: 0.7083 0.4832 0.5000
N: 0.7917 0.2917 0.7749
N: 0.9832 0.2083 0.5000

---

Entry 12:
A plane-wave DFT calculation with PBE was carried out for a relaxed structure of Ce2SmPN5.

Output
- Density of states at the Fermi level: 6.69 states/eV/f.u.
- Total moment: 1.1 μB per formula unit
- E_form (uncorrected): -1.303 eV per atom
- Calculated total energy: -0.308 hartree per atom

Lattice parameters (Å, degrees): 7.1760 7.1760 7.1760 125.12 125.12 81.35
Positions (direct):
Ce: 0.1812 0.6812 0.8625
Ce: 0.3188 0.1812 0.5000
Ce: 0.6812 0.8188 0.5000
Ce: 0.8188 0.3188 0.1375
Sm: 0.2500 0.2500 0.0000
Sm: 0.7500 0.7500 0.0000
P: 0.2500 0.7500 0.5000
P: 0.7500 0.2500 0.5000
N: 0.0000 0.0000 0.0000
N: 0.0162 0.7923 0.5000
N: 0.2077 0.7077 0.2239
N: 0.2923 0.5162 0.5000
N: 0.4838 0.9838 0.7761
N: 0.5000 0.5000 0.0000
N: 0.5162 0.0162 0.2239
N: 0.7077 0.4838 0.5000
N: 0.7923 0.2923 0.7761
N: 0.9838 0.2077 0.5000